No. 1
Nb2PtRh4: relaxed, PBE-GGA. Values from VASP.

The structure in Quantum ESPRESSO input format:
```
&SYSTEM
  ibrav = 0, nat = 7, ntyp = 3
/
ATOMIC_SPECIES
Rh 102.91 Rh.upf
Nb 92.91 Nb.upf
Pt 195.08 Pt.upf
CELL_PARAMETERS angstrom
5.586 0.003 -0.001
-0.005 5.611 0.005
-2.789 -2.810 3.697
ATOMIC_POSITIONS angstrom
Rh 4.145 4.128 0.114
Rh 4.228 1.322 0.417
Rh 1.359 1.322 0.414
Nb -0.002 3.189 2.115
Rh 1.433 4.128 0.115
Nb 2.794 -0.102 2.116
Pt 2.791 2.848 2.116
```

Properties
The offset from the most stable computed form is 0.0 kJ per mole of atoms. As for the energy relative to the elements: -6.991 kcal/mol of atoms. The density is 11.4 Mg/m³. The total energy is -0.6059 Ry/atom.



No. 2
NbPtRh6: relaxed, PBE-GGA. Values from VASP.

The structure in Quantum ESPRESSO input format:
```
&SYSTEM
  ibrav = 0, nat = 8, ntyp = 3
/
ATOMIC_SPECIES
Rh 102.91 Rh.upf
Pt 195.08 Pt.upf
Nb 92.91 Nb.upf
CELL_PARAMETERS angstrom
-1.901 0.892 6.412
-2.271 -5.487 4.284
1.410 -2.143 4.276
ATOMIC_POSITIONS angstrom
Rh -1.764 -5.099 9.527
Pt 0.000 0.000 0.000
Rh -0.216 -0.518 2.809
Rh -1.741 -3.467 11.674
Rh -2.547 -6.220 12.163
Rh -1.022 -3.272 3.298
Rh -0.999 -1.640 5.445
Nb -1.382 -3.369 7.486
```

Properties
As for the energy relative to the elements: -1.145 kcal/mol of atoms. The density is 12.3 Mg/m³. The total energy is -0.5569 Ry/atom.



No. 3
Nb2PtRh8: relaxed, PBE-GGA. Values from VASP.

The structure in Quantum ESPRESSO input format:
```
&SYSTEM
  ibrav = 0, nat = 11, ntyp = 3
/
ATOMIC_SPECIES
Rh 102.91 Rh.upf
Nb 92.91 Nb.upf
Pt 195.08 Pt.upf
CELL_PARAMETERS angstrom
4.018 0.000 -1.223
-0.958 5.544 -3.149
0.049 0.446 7.372
ATOMIC_POSITIONS angstrom
Rh 1.776 4.863 -1.375
Rh -0.282 1.630 -0.926
Rh 2.182 2.515 -0.042
Nb 0.153 4.061 0.502
Nb 2.955 1.930 2.499
Rh 3.390 4.361 3.926
Rh 1.332 1.128 4.376
Rh 0.926 3.476 3.042
Pt 2.009 0.000 -0.611
Rh 2.588 4.931 1.292
Rh 0.520 1.060 1.708
```

Properties
As for the energy relative to the elements: -3.827 kcal/mol of atoms. The density is 11.7 Mg/m³. The total energy is -0.5801 Ry/atom.



No. 4
Nb2PtRh4: relaxed, PBE-GGA. Values from VASP.

The structure in Quantum ESPRESSO input format:
```
&SYSTEM
  ibrav = 0, nat = 7, ntyp = 3
/
ATOMIC_SPECIES
Nb 92.91 Nb.upf
Rh 102.91 Rh.upf
Pt 195.08 Pt.upf
CELL_PARAMETERS angstrom
4.808 0.000 0.000
0.000 4.808 0.000
2.404 2.404 6.270
ATOMIC_POSITIONS angstrom
Nb 2.404 2.404 1.408
Rh 4.808 4.808 2.623
Rh 0.000 2.404 0.000
Pt 0.000 0.000 0.000
Rh 2.404 2.404 3.647
Nb 4.808 4.808 4.862
Rh 2.404 0.000 0.000
```

Properties
The offset from the most stable computed form is 114.3 kJ per mole of atoms. As for the energy relative to the elements: 20.327 kcal/mol of atoms. The density is 9.1 Mg/m³. The total energy is -0.5189 Ry/atom.



No. 5
Nb2Pt5Rh5: relaxed, PBE-GGA. Values from VASP.

The structure in Quantum ESPRESSO input format:
```
&SYSTEM
  ibrav = 0, nat = 12, ntyp = 3
/
ATOMIC_SPECIES
Pt 195.08 Pt.upf
Rh 102.91 Rh.upf
Nb 92.91 Nb.upf
CELL_PARAMETERS angstrom
4.713 0.000 0.000
-2.356 6.103 0.075
0.000 -3.336 6.476
ATOMIC_POSITIONS angstrom
Pt 0.000 1.847 4.305
Rh 2.356 3.088 3.897
Rh 2.356 0.588 5.042
Nb 2.356 3.551 1.323
Pt 2.356 -1.964 6.050
Pt 2.356 0.920 2.246
Nb 0.000 -0.784 5.228
Pt 0.000 4.731 0.501
Rh 0.000 2.179 1.510
Rh 0.000 0.000 0.000
Pt 2.356 -1.668 3.238
Rh 0.000 -0.322 2.654
```

Properties
The offset from the most stable computed form is 21.4 kJ per mole of atoms. As for the energy relative to the elements: -5.146 kcal/mol of atoms. The density is 14.8 Mg/m³. The total energy is -0.5499 Ry/atom.



No. 6
NbPtRh: relaxed, PBE-GGA. Values from VASP.

The structure in Quantum ESPRESSO input format:
```
&SYSTEM
  ibrav = 0, nat = 6, ntyp = 3
/
ATOMIC_SPECIES
Pt 195.08 Pt.upf
Nb 92.91 Nb.upf
Rh 102.91 Rh.upf
CELL_PARAMETERS angstrom
-1.988 1.077 3.327
1.853 -2.825 2.021
3.471 5.280 0.365
ATOMIC_POSITIONS angstrom
Pt 3.209 3.530 1.991
Nb 2.959 2.495 4.608
Nb 0.376 1.038 1.105
Pt 0.126 0.003 3.722
Rh 2.630 0.793 2.531
Rh 0.705 2.740 3.182
```

Properties
The offset from the most stable computed form is 0.0 kJ per mole of atoms. As for the energy relative to the elements: -13.462 kcal/mol of atoms. The density is 13.6 Mg/m³. The total energy is -0.6177 Ry/atom.



No. 7
NbPtRh: relaxed, PBE-GGA. Values from VASP.

The structure in Quantum ESPRESSO input format:
```
&SYSTEM
  ibrav = 0, nat = 3, ntyp = 3
/
ATOMIC_SPECIES
Nb 92.91 Nb.upf
Rh 102.91 Rh.upf
Pt 195.08 Pt.upf
CELL_PARAMETERS angstrom
-0.938 2.933 1.323
-2.676 -1.476 1.376
4.112 -1.594 2.203
ATOMIC_POSITIONS angstrom
Nb -1.287 0.533 2.151
Rh 0.310 -0.067 4.613
Pt 1.281 -0.481 1.975
```

Properties
The offset from the most stable computed form is 8.0 kJ per mole of atoms. As for the energy relative to the elements: -11.542 kcal/mol of atoms. The density is 13.4 Mg/m³. The total energy is -0.6116 Ry/atom.



No. 8
Nb2PtRh: relaxed, PBE-GGA. Values from VASP.

The structure in Quantum ESPRESSO input format:
```
&SYSTEM
  ibrav = 0, nat = 4, ntyp = 3
/
ATOMIC_SPECIES
Nb 92.91 Nb.upf
Pt 195.08 Pt.upf
Rh 102.91 Rh.upf
CELL_PARAMETERS angstrom
-1.041 2.095 -1.595
-2.596 1.010 0.508
2.585 7.663 5.865
ATOMIC_POSITIONS angstrom
Nb -2.619 4.881 0.581
Pt 0.000 0.000 0.000
Nb 1.568 5.887 4.197
Rh -0.526 5.384 2.389
```

Properties
As for the energy relative to the elements: 0.953 kcal/mol of atoms. The density is 11.7 Mg/m³. The total energy is -0.6131 Ry/atom.



It is found that the total magnetization values, taken in the order of the records, are 0.0000 0.0000 0.0000 0.0000 0.0000 0.0000 0.0000 0.0000 μB per atom.